# PBE TlGa2Si2, relaxed
data_TlGa2Si2
_cell_length_a 4.589
_cell_length_b 4.589
_cell_length_c 9.825
_cell_angle_alpha 90.00
_cell_angle_beta 90.00
_cell_angle_gamma 90.00
_space_group_name_H-M_alt 'I 4/m m m'
_space_group_IT_number 139
_space_group_name_Hall '-I 4 2'
loop_
_atom_site_label
_atom_site_type_symbol
_atom_site_fract_x
_atom_site_fract_y
_atom_site_fract_z
_atom_site_occupancy
Tl1 Tl 0.000 0.000 0.000 1
Ga1 Ga 0.000 0.500 0.250 1
Si1 Si 0.000 0.000 0.378 1
# Energy relative to the elements, uncorrected ... 0.133 eV/atom